(1)
Material: SmPaSn2
Method: DFT, PBE-GGA
State: optimized geometry

crystal system: tetragonal
density: 9.623 g/cm³
energy relative to the elements: -367 meV/atom
distance to the lowest polymorph of the same formula: 0.038 eV per atom
V: 26.7 Å³/atom
Fermi-level density of states: 5.93 states/eV/f.u.
total magnetization: 0.81 μB per formula unit

abc: 4.929 4.929 4.395
angles: 90.00 90.00 90.00
Space group P4/mmm (No. 123)
Asymmetric unit:
Sm 0.000 0.000 0.000 (multiplicity 1)
Pa 0.500 0.500 0.000 (multiplicity 1)
Sn 0.000 0.500 0.500 (multiplicity 2)


(2)
Material: LiSmSbH
Method: DFT, PBE-GGA
State: optimized geometry

crystal system: tetragonal
density: 6.196 g/cm³
electronic total energy: -4.3513 eV per atom
V: 18.8 Å³/atom
Fermi-level density of states: 0.04 states/eV/f.u.
total magnetization: 0.00 μB per formula unit

abc: 4.229 4.229 8.396
angles: 90.00 90.00 90.00
Space group P4/nmm (No. 129, origin choice 2)
Asymmetric unit:
Li 0.250 0.750 0.000 (multiplicity 2)
Sm 0.250 0.250 0.373 (multiplicity 2)
Sb 0.250 0.250 0.784 (multiplicity 2)
H 0.250 0.750 0.500 (multiplicity 2)